A plane-wave DFT calculation with GGA-PBEsol was carried out for a geometry-optimized CoMoW2 structure.

Computed properties:
The density of states at the Fermi level comes out at 3.8 states/eV/cell. The formation energy comes out at 0.303 eV/atom. Its relative energy among the computed polymorphs is 30 meV per atom. Its space-group type is Pmm2 (25). The energy is -45.91 eV per cell.

Cell lengths 2.6372, 3.8746, 5.6396 Å; angles 90.00, 90.00, 90.00 degrees
Closest atoms and distances in Å follow each position.
Fractional coordinates of all 4 atoms:
1 Co 0.0000 0.0000 0.4987  2 Co 2.64, 6 W 2.68-2.82, 4 Mo 2.69
2 Mo 0.5000 0.5000 0.7341  5 W 2.63-2.78, 2 Mo 2.64, 4 Co 2.69
3 W 0.0000 0.0000 0.9989  6 W 2.64-2.79, 4 Mo 2.78, 2 Co 2.82
4 W 0.5000 0.5000 0.2682  1 Mo 2.63, 6 W 2.64-2.79, 4 Co 2.68